(1)
Entry from Alexandria via LeMat-Bulk: crystalline Fe2Co3 at its relaxed geometry (PBEsol).

Calculated values
- Distance to the lowest polymorph of the same formula: 15.2 meV/atom
- M_tot: 2.04 μB/atom
- Uncorrected energy: -40.9 eV for the cell shown
- DFT formation energy: 0.04 eV per atom

a b c (Å): 2.4206 3.9146 6.0681
angles (deg): 108.82 97.86 90.00
Each line ends with the local moment (μB).
Positions (direct):
1 Fe 0.1022 0.3993 0.7985  2.57
2 Co 0.2706 0.2000 0.3999  1.70
3 Fe 0.8978 0.6007 0.2015  2.57
4 Co 0.7294 0.8000 0.6001  1.70
5 Co 0.5000 0.0000 0.0000  1.72

(2)
Entry from Alexandria via LeMat-Bulk: crystalline Fe17Co12 at its relaxed geometry (PBEsol).

Calculated values
- M_tot: 2.13 μB/atom
- Uncorrected energy: -243.9 eV for the cell shown
- DFT formation energy: 0.05 eV per atom

a b c (Å): 7.4554 7.4554 7.4554
angles (deg): 109.47 109.47 109.47
Each line ends with the local moment (μB).
Positions (direct):
1 Co 0.8097 0.1833 0.8097  1.54
2 Fe 0.3586 0.3586 0.3586  2.65
3 Co 0.8097 0.8097 0.1833  1.54
4 Fe 0.4001 0.6821 0.0000  2.53
5 Co 0.1903 0.3736 0.0000  1.54
6 Fe 0.6414 0.0000 0.0000  2.65
7 Fe 0.7180 0.3179 0.3179  2.53
8 Fe 0.3179 0.3179 0.7180  2.53
9 Fe 0.4001 0.0000 0.6821  2.53
10 Co 0.1833 0.8097 0.8097  1.54
11 Co 0.0000 0.3736 0.1903  1.54
12 Fe 0.0000 0.6414 0.0000  2.65
13 Fe 0.0000 0.0000 0.0000  2.75
14 Co 0.3736 0.1903 0.0000  1.54
15 Fe 0.6821 0.4001 0.0000  2.53
16 Fe 0.0000 0.4001 0.6821  2.53
17 Co 0.6264 0.6264 0.8167  1.54
18 Fe 0.2820 0.5999 0.5999  2.53
19 Fe 0.6821 0.0000 0.4001  2.53
20 Fe 0.0000 0.6821 0.4001  2.53
21 Fe 0.3179 0.7180 0.3179  2.53
22 Fe 0.0000 0.0000 0.6414  2.65
23 Fe 0.5999 0.2820 0.5999  2.53
24 Co 0.6264 0.8167 0.6264  1.54
25 Co 0.0000 0.1903 0.3736  1.54
26 Co 0.1903 0.0000 0.3736  1.54
27 Co 0.3736 0.0000 0.1903  1.54
28 Fe 0.5999 0.5999 0.2820  2.53
29 Co 0.8167 0.6264 0.6264  1.54

(3)
Entry from Alexandria via LeMat-Bulk: crystalline Fe4Co3 at its relaxed geometry (PBEsol).

Calculated values
- Distance to the lowest polymorph of the same formula: 1.2 meV/atom
- M_tot: 2.20 μB/atom
- Uncorrected energy: -58.9 eV for the cell shown
- DFT formation energy: 0.02 eV per atom

a b c (Å): 3.9399 4.6274 4.6523
angles (deg): 94.67 90.00 115.20
Each line ends with the local moment (μB).
Positions (direct):
1 Co 0.7126 0.4253 0.8537  1.74
2 Fe 0.1426 0.2853 0.5736  2.58
3 Co 0.2874 0.5747 0.1463  1.74
4 Co 0.0000 0.0000 0.0000  1.73
5 Fe 0.5712 0.1425 0.2827  2.57
6 Fe 0.4288 0.8575 0.7173  2.57
7 Fe 0.8574 0.7147 0.4264  2.58

(4)
Entry from Alexandria via LeMat-Bulk: crystalline Fe2Co5 at its relaxed geometry (PBEsol).

Calculated values
- Distance to the lowest polymorph of the same formula: 10.3 meV/atom
- M_tot: 1.90 μB/atom
- Uncorrected energy: -56.2 eV for the cell shown
- DFT formation energy: 0.06 eV per atom

a b c (Å): 2.4175 5.8777 6.1248
angles (deg): 113.96 102.07 99.57
Each line ends with the local moment (μB).
Positions (direct):
1 Fe 0.4423 0.7144 0.0727  2.54
2 Co 0.0000 0.0000 0.5000  1.68
3 Co 0.3565 0.1379 0.2137  1.66
4 Co 0.1820 0.5630 0.3569  1.64
5 Co 0.8180 0.4370 0.6431  1.64
6 Co 0.6435 0.8621 0.7863  1.66
7 Fe 0.5577 0.2856 0.9273  2.54

(5)
Entry from Alexandria via LeMat-Bulk: crystalline Fe2Co3 at its relaxed geometry (PBEsol).

Calculated values
- Distance to the lowest polymorph of the same formula: 25.0 meV/atom
- M_tot: 2.04 μB/atom
- Uncorrected energy: -40.9 eV for the cell shown
- DFT formation energy: 0.05 eV per atom

a b c (Å): 2.7547 2.7547 7.3658
angles (deg): 100.78 100.78 90.00
Each line ends with the local moment (μB).
Positions (direct):
1 Fe 0.6989 0.6989 0.3978  2.54
2 Fe 0.3011 0.3011 0.6022  2.54
3 Co 0.5000 0.5000 0.0000  1.73
4 Co 0.1006 0.1006 0.2012  1.73
5 Co 0.8994 0.8994 0.7988  1.73

(6)
Entry from Alexandria via LeMat-Bulk: crystalline Fe4Co5 at its relaxed geometry (PBEsol).

Calculated values
- M_tot: 2.09 μB/atom
- Uncorrected energy: -74.1 eV for the cell shown
- DFT formation energy: 0.05 eV per atom

a b c (Å): 2.7613 6.0986 6.0986
angles (deg): 87.06 76.92 76.92
Each line ends with the local moment (μB).
Positions (direct):
1 Co 0.6664 0.6672 0.0000  1.74
2 Fe 0.6685 0.3315 0.3315  2.56
3 Co 0.3336 0.3328 0.0000  1.74
4 Co 0.0000 0.0000 0.0000  1.73
5 Co 0.6664 0.0000 0.6672  1.74
6 Co 0.3336 0.0000 0.3328  1.74
7 Fe 0.3315 0.6685 0.6685  2.56
8 Fe 0.0000 0.6685 0.3315  2.56
9 Fe 0.0000 0.3315 0.6685  2.56

(7)
Entry from Alexandria via LeMat-Bulk: crystalline Fe5Co3 at its relaxed geometry (PBEsol).

Calculated values
- Distance to the lowest polymorph of the same formula: 2.6 meV/atom
- M_tot: 2.27 μB/atom
- Uncorrected energy: -68.1 eV for the cell shown
- DFT formation energy: -0.01 eV per atom

a b c (Å): 3.9567 3.9567 6.2578
angles (deg): 108.43 108.43 90.00
Each line ends with the local moment (μB).
Positions (direct):
1 Co 0.2497 0.2497 0.4995  1.73
2 Fe 0.8750 0.3750 0.7499  2.69
3 Co 0.0000 0.0000 0.0000  1.72
4 Fe 0.3750 0.8750 0.7499  2.69
5 Fe 0.5000 0.5000 0.0000  2.36
6 Fe 0.6250 0.1250 0.2501  2.69
7 Co 0.7503 0.7503 0.5005  1.73
8 Fe 0.1250 0.6250 0.2501  2.69

(8)
Entry from Alexandria via LeMat-Bulk: crystalline Fe2Co5 at its relaxed geometry (PBEsol).

Calculated values
- Distance to the lowest polymorph of the same formula: 0.0 meV/atom
- M_tot: 1.97 μB/atom
- Uncorrected energy: -56.3 eV for the cell shown
- DFT formation energy: 0.05 eV per atom

a b c (Å): 2.7805 4.6129 6.2125
angles (deg): 98.11 90.00 107.54
Each line ends with the local moment (μB).
Positions (direct):
1 Co 0.7189 0.4378 0.6467  1.71
2 Co 0.2811 0.5622 0.3533  1.71
3 Co 0.0000 0.0000 0.5000  1.72
4 Co 0.8595 0.7190 0.0662  1.70
5 Co 0.1405 0.2810 0.9338  1.70
6 Fe 0.5695 0.1389 0.2170  2.66
7 Fe 0.4305 0.8611 0.7830  2.66

(9)
Entry from Alexandria via LeMat-Bulk: crystalline Fe4Co3 at its relaxed geometry (PBEsol).

Calculated values
- Distance to the lowest polymorph of the same formula: 0.0 meV/atom
- M_tot: 2.21 μB/atom
- Uncorrected energy: -58.9 eV for the cell shown
- DFT formation energy: 0.02 eV per atom

a b c (Å): 2.7810 2.7810 10.0752
angles (deg): 97.93 97.93 90.00
Each line ends with the local moment (μB).
Positions (direct):
1 Fe 0.6441 0.6441 0.2882  2.57
2 Fe 0.9289 0.9289 0.8578  2.60
3 Fe 0.0711 0.0711 0.1422  2.60
4 Co 0.7865 0.7865 0.5730  1.74
5 Fe 0.3559 0.3559 0.7118  2.57
6 Co 0.5000 0.5000 0.0000  1.73
7 Co 0.2135 0.2135 0.4270  1.74

(10)
Entry from Alexandria via LeMat-Bulk: crystalline Fe4Co3 at its relaxed geometry (PBEsol).

Calculated values
- Distance to the lowest polymorph of the same formula: 28.8 meV/atom
- M_tot: 2.13 μB/atom
- Uncorrected energy: -58.7 eV for the cell shown
- DFT formation energy: 0.05 eV per atom

a b c (Å): 2.4169 2.4169 13.8715
angles (deg): 93.31 93.31 109.73
Each line ends with the local moment (μB).
Positions (direct):
1 Fe 0.8572 0.8572 0.7144  2.31
2 Fe 0.4296 0.4296 0.8592  2.44
3 Fe 0.1424 0.1424 0.2847  2.54
4 Fe 0.2850 0.2850 0.5699  2.45
5 Co 0.7136 0.7136 0.4272  1.76
6 Co 0.5716 0.5716 0.1433  1.73
7 Co 0.0006 0.0006 0.0012  1.75

(11)
Entry from Alexandria via LeMat-Bulk: crystalline Fe7Co at its relaxed geometry (PBEsol).

Calculated values
- Distance to the lowest polymorph of the same formula: 0.5 meV/atom
- M_tot: 2.23 μB/atom
- Uncorrected energy: -70.3 eV for the cell shown
- DFT formation energy: 0.02 eV per atom

a b c (Å): 2.7830 3.9489 8.2831
angles (deg): 103.79 99.67 90.00
Each line ends with the local moment (μB).
Positions (direct):
1 Fe 0.2505 0.2505 0.5010  2.23
2 Fe 0.5000 0.5000 0.0000  2.51
3 Fe 0.1249 0.6249 0.2497  2.21
4 Fe 0.7495 0.7495 0.4990  2.23
5 Fe 0.8751 0.3751 0.7503  2.21
6 Co 0.0000 0.0000 0.0000  1.70
7 Fe 0.6246 0.1246 0.2492  2.41
8 Fe 0.3754 0.8754 0.7508  2.41

(12)
Entry from Alexandria via LeMat-Bulk: crystalline Fe5Co3 at its relaxed geometry (PBEsol).

Calculated values
- Distance to the lowest polymorph of the same formula: 51.4 meV/atom
- M_tot: 2.19 μB/atom
- Uncorrected energy: -67.7 eV for the cell shown
- DFT formation energy: 0.04 eV per atom

a b c (Å): 2.4197 4.6200 8.2701
angles (deg): 104.73 95.66 99.83
Each line ends with the local moment (μB).
Positions (direct):
1 Fe 0.2515 0.2500 0.9992  2.41
2 Fe 0.6257 0.1257 0.2514  2.47
3 Co 0.9922 0.9998 0.5003  1.77
4 Co 0.3750 0.8750 0.7500  1.76
5 Fe 0.8738 0.3738 0.7477  2.58
6 Fe 0.7477 0.7492 0.9992  2.41
7 Co 0.5082 0.5005 0.5003  1.77
8 Fe 0.1259 0.6259 0.2518  2.47